# 1
HgPt2Pb4: relaxed, GGA-PBE.

Properties
E_form, meV per atom: -148
Space-group type: R-3m (166)

Lattice parameters (Å, degrees): 4.7405 4.7405 9.9428 76.21 76.21 60.00
Fractional coordinates of all 7 atoms:
Pb: 0.3914 0.3914 0.8259
Pb: 0.6086 0.6086 0.1741
Pb: 0.7979 0.7979 0.6063
Pb: 0.2021 0.2021 0.3937
Hg: 0.0000 0.0000 0.0000
Pt: 0.1006 0.1006 0.6981
Pt: 0.8994 0.8994 0.3019


# 2
SmY2Sc: relaxed, GGA-PBE.

Properties
E above lowest polymorph, eV per formula unit: 0.04
E_form, meV per atom: 37
Space-group type: Cm (8)

Lattice parameters (Å, degrees): 3.5917 6.6238 6.6285 124.47 105.71 74.29
Fractional coordinates of all 4 atoms:
Y: 0.1255 0.0857 0.4526
Y: 0.8810 0.6711 0.5501
Sc: 0.6251 0.5934 0.9591
Sm: 0.3684 0.1858 0.0382


# 3
Ba3NaLa: relaxed, GGA-PBE.

Properties
E above lowest polymorph, eV per formula unit: 0.06
E_form, meV per atom: 500
Space-group type: Pm-3m (221)

Lattice parameters (Å, degrees): 6.4161 6.4161 6.4161 90.00 90.00 90.00
Fractional coordinates of all 5 atoms:
La: 0.5000 0.5000 0.5000
Ba: 0.5000 0.0000 0.0000
Ba: 0.0000 0.5000 0.0000
Ba: 0.0000 0.0000 0.5000
Na: 0.0000 0.0000 0.0000


# 4
Cs4Rb5Cd3: relaxed, GGA-PBE.

Properties
E_form, meV per atom: 22
Space-group type: C2/m (12)

Lattice parameters (Å, degrees): 7.2637 12.1120 11.0816 110.25 90.00 107.45
Fractional coordinates of all 12 atoms:
Rb: 0.3339 0.6679 0.2377
Rb: 0.0000 0.0000 0.5000
Rb: 0.5568 0.1135 0.2206
Rb: 0.4432 0.8865 0.7794
Rb: 0.6661 0.3321 0.7623
Cd: 0.2792 0.5584 0.8310
Cd: 0.7208 0.4416 0.1690
Cd: 0.5000 0.0000 0.5000
Cs: 0.8748 0.7496 0.0261
Cs: 0.8163 0.6325 0.5520
Cs: 0.1252 0.2504 0.9739
Cs: 0.1837 0.3675 0.4480


# 5
CsAcHg2Se4: relaxed, GGA-PBE.

Properties
Formation energy from raw total energies, eV per formula unit: -7.3
Space-group type: I222 (23)

Lattice parameters (Å, degrees): 7.4708 7.3914 7.3914 71.27 59.64 59.64
Fractional coordinates of all 8 atoms:
Se: 0.9373 0.4937 0.1205
Se: 0.5516 0.5063 0.8795
Se: 0.4484 0.1205 0.4937
Se: 0.0627 0.8795 0.5063
Hg: 0.8164 0.6836 0.6836
Hg: 0.1836 0.3164 0.3164
Ac: 0.5000 0.5000 0.5000
Cs: 0.0000 0.0000 0.0000


# 6
SrScBi2: relaxed, GGA-PBE.

Properties
E above lowest polymorph, eV per formula unit: 0.68
E_form, meV per atom: -500
Space-group type: Fm-3m (225)

Lattice parameters (Å, degrees): 5.5653 5.5653 5.5653 60.00 60.00 60.00
Fractional coordinates of all 4 atoms:
Sr: 0.5000 0.5000 0.5000
Sc: 0.0000 0.0000 0.0000
Bi: 0.7500 0.7500 0.7500
Bi: 0.2500 0.2500 0.2500


# 7
ZrSb3P: relaxed, GGA-PBE.

Properties
Formation energy from raw total energies, eV per formula unit: 2.6
E above lowest polymorph, eV per formula unit: 0.00
Space-group type: Pm-3m (221)

Lattice parameters (Å, degrees): 5.0976 5.0976 5.0976 90.00 90.00 90.00
Fractional coordinates of all 5 atoms:
P: 0.0000 0.0000 0.0000
Sb: 0.5000 0.0000 0.0000
Sb: 0.0000 0.5000 0.0000
Sb: 0.0000 0.0000 0.5000
Zr: 0.5000 0.5000 0.5000


# 8
TeSeBr2: relaxed, GGA-PBE.

Properties
Formation energy from raw total energies, eV per formula unit: 1.2
E above lowest polymorph, eV per formula unit: 1.85
Space-group type: R-3m (166)

Lattice parameters (Å, degrees): 10.9622 10.9622 10.9622 18.15 18.15 18.15
Fractional coordinates of all 4 atoms:
Br: 0.0763 0.0763 0.0763
Br: 0.9237 0.9237 0.9237
Se: 0.0000 0.0000 0.0000
Te: 0.5000 0.5000 0.5000


# 9
SiPt3: relaxed, GGA-PBE.

Properties
Formation energy from raw total energies, eV per formula unit: -1.5
Space-group type: R-3m (166)

Lattice parameters (Å, degrees): 8.5737 8.5737 8.5737 19.32 19.32 19.32
Fractional coordinates of all 4 atoms:
Pt: 0.7384 0.7384 0.7384
Pt: 0.2616 0.2616 0.2616
Pt: 0.5000 0.5000 0.5000
Si: 0.0000 0.0000 0.0000


# 10
Tl4Hg5Au4: relaxed, GGA-PBE.

Properties
E_form, meV per atom: 31
Space-group type: I4/m (87)

Lattice parameters (Å, degrees): 4.1215 9.2917 9.2917 87.18 77.19 77.19
Fractional coordinates of all 13 atoms:
Hg: 0.6877 0.9324 0.6922
Hg: 0.3799 0.3078 0.9324
Hg: 0.3123 0.0676 0.3078
Hg: 0.0000 0.0000 0.0000
Hg: 0.6201 0.6922 0.0676
Au: 0.0533 0.1660 0.7274
Au: 0.2193 0.7274 0.8340
Au: 0.7807 0.2726 0.1660
Au: 0.9467 0.8340 0.2726
Tl: 0.3930 0.7268 0.4872
Tl: 0.8802 0.5128 0.7268
Tl: 0.1198 0.4872 0.2732
Tl: 0.6070 0.2732 0.5128


# 11
Na3Tm2PaS6: relaxed, GGA-PBE.

Properties
Formation energy from raw total energies, eV per formula unit: -20.2
Space-group type: C2/m (12)

Lattice parameters (Å, degrees): 6.8161 6.8161 7.0931 99.21 99.21 120.00
Last column: magnetic moment on the atom in μB.
Fractional coordinates of all 12 atoms:
S: 0.9240 0.5883 0.7719  -0.01
S: 0.0760 0.4117 0.2281  -0.01
S: 0.5883 0.9240 0.7719  -0.01
S: 0.7405 0.7405 0.2283  -0.01
S: 0.4117 0.0760 0.2281  -0.01
S: 0.2595 0.2595 0.7717  -0.01
Na: 0.5000 0.5000 0.5000  0.00
Na: 0.1674 0.8326 0.5000  0.00
Na: 0.8326 0.1674 0.5000  0.00
Pa: 0.0000 0.0000 0.0000  1.16
Tm: 0.6666 0.3334 0.0000  0.13
Tm: 0.3334 0.6666 0.0000  0.13


# 12
HoScZn6: relaxed, GGA-PBE.

Properties
E_form, meV per atom: -298
Space-group type: Amm2 (38)

Lattice parameters (Å, degrees): 4.3646 5.9532 5.9532 114.13 90.00 90.00
Fractional coordinates of all 8 atoms:
Zn: 0.5000 0.4474 0.1307
Zn: 0.0000 0.5866 0.4134
Zn: 0.5000 0.8693 0.5526
Zn: 0.0000 0.6327 0.9560
Zn: 0.5000 0.9220 0.0780
Zn: 0.0000 0.0440 0.3673
Ho: 0.5000 0.3892 0.6108
Sc: 0.0000 0.1086 0.8914


# 13
InAs2PbSe: relaxed, GGA-PBE.

Properties
Formation energy from raw total energies, eV per formula unit: 2.7
E above lowest polymorph, eV per formula unit: 0.00
Space-group type: P4/mmm (123)

Lattice parameters (Å, degrees): 5.4718 5.4718 5.6566 90.00 90.00 90.00
Last column: magnetic moment on the atom in μB.
Fractional coordinates of all 5 atoms:
As: 0.0000 0.5000 0.0000  0.13
As: 0.5000 0.0000 0.0000  0.13
Se: 0.0000 0.0000 0.5000  0.06
In: 0.0000 0.0000 0.0000  -0.01
Pb: 0.5000 0.5000 0.5000  -0.02


# 14
Ag2AsIr: relaxed, GGA-PBE.

Properties
E_form, meV per atom: 383
Space-group type: Pmmm (47)

Lattice parameters (Å, degrees): 2.8763 4.4302 5.3509 90.00 90.00 90.00
Fractional coordinates of all 4 atoms:
As: 0.5000 0.5000 0.2500
Ag: 0.0000 0.0000 0.5040
Ag: 0.0000 0.0000 0.9960
Ir: 0.5000 0.5000 0.7500


# 15
LaPrHo4Er2: relaxed, GGA-PBE.

Properties
E_form, meV per atom: 5
Space-group type: P-1 (2)

Lattice parameters (Å, degrees): 7.1727 11.5356 13.5813 148.17 105.29 89.98
Fractional coordinates of all 16 atoms:
Ho: 0.8322 0.9130 0.1657
Ho: 0.6674 0.5876 0.3347
Ho: 0.3331 0.9135 0.1662
Ho: 0.6669 0.0865 0.8338
Ho: 0.1683 0.5879 0.3349
Ho: 0.1678 0.0869 0.8342
Ho: 0.8317 0.4121 0.6651
Ho: 0.3326 0.4124 0.6653
Er: 0.0000 0.0001 0.5000
Er: 0.5000 0.0001 0.5000
Er: 0.5000 0.5000 0.0000
Er: 0.5000 0.9999 0.0000
Pr: 0.0000 0.4999 0.4999
Pr: 0.0000 0.5001 0.0001
La: 0.0000 0.0000 0.0000
La: 0.5000 0.5000 0.5000


# 16
Ac4Zn3Hg5: relaxed, GGA-PBE.

Properties
E_form, meV per atom: -245
Space-group type: C2/m (12)

Lattice parameters (Å, degrees): 5.0635 6.2462 14.7576 57.48 80.12 66.09
Fractional coordinates of all 12 atoms:
Hg: 0.5000 0.5000 0.5000
Hg: 0.5841 0.7262 0.1057
Hg: 0.2087 0.4055 0.1770
Hg: 0.4159 0.2738 0.8943
Hg: 0.7913 0.5945 0.8230
Ac: 0.7282 0.1838 0.3598
Ac: 0.8923 0.1133 0.1022
Ac: 0.2718 0.8162 0.6402
Ac: 0.1077 0.8867 0.8978
Zn: 0.0000 0.5000 0.5000
Zn: 0.4368 0.8431 0.2833
Zn: 0.5632 0.1569 0.7167


# 17
SrNiPd3: relaxed, GGA-PBE.

Properties
E above lowest polymorph, eV per formula unit: 0.00
E_form, meV per atom: 18
Space-group type: Pm-3m (221)

Lattice parameters (Å, degrees): 4.7211 4.7211 4.7211 90.00 90.00 90.00
Last column: magnetic moment on the atom in μB.
Fractional coordinates of all 5 atoms:
Pd: 0.0000 0.5000 0.0000  0.16
Pd: 0.0000 0.0000 0.5000  0.21
Pd: 0.5000 0.0000 0.0000  0.06
Ni: 0.0000 0.0000 0.0000  0.77
Sr: 0.5000 0.5000 0.5000  0.00


# 18
Sr2GaPt: relaxed, GGA-PBE.

Properties
E_form, meV per atom: -677
Space-group type: P2_1/m (11)

Lattice parameters (Å, degrees): 4.4675 6.0992 9.4016 113.11 90.00 90.00
Fractional coordinates of all 8 atoms:
Ga: 0.2500 0.3887 0.2254
Ga: 0.7500 0.6113 0.7746
Sr: 0.7500 0.2216 0.9289
Sr: 0.2500 0.7974 0.5724
Sr: 0.2500 0.7784 0.0711
Sr: 0.7500 0.2026 0.4276
Pt: 0.2500 0.3953 0.7233
Pt: 0.7500 0.6047 0.2767


# 19
CeSiHAu: relaxed, GGA-PBE.

Properties
Space-group type: P3m1 (156)
Raw total energy, eV/atom: -5.0683

Lattice parameters (Å, degrees): 4.2795 4.2800 4.2432 90.00 90.00 120.00
Last column: magnetic moment on the atom in μB.
Fractional coordinates of all 4 atoms:
Au: 0.2386 0.4772 0.2666  -0.01
Si: 0.5720 0.1439 0.3515  -0.01
H: 0.2385 0.4770 0.8306  0.00
Ce: 0.9053 0.8105 0.7904  0.27


# 20
V5ReTc6: relaxed, GGA-PBE.

Properties
E_form, meV per atom: -278
Space-group type: Immm (71)

Lattice parameters (Å, degrees): 4.2989 6.0930 7.4416 114.17 106.82 90.00
Fractional coordinates of all 12 atoms:
Tc: 0.8320 0.0846 0.6639
Tc: 0.1680 0.9154 0.3361
Tc: 0.5000 0.7436 0.0000
Tc: 0.8320 0.5792 0.6639
Tc: 0.1680 0.4208 0.3361
Tc: 0.5000 0.2564 0.0000
V: 0.6684 0.6685 0.3370
V: 0.3357 0.8355 0.6709
V: 0.3316 0.3315 0.6630
V: 0.6643 0.1645 0.3291
V: 0.0000 0.5000 0.0000
Re: 0.0000 0.0000 0.0000


# 21
Mn5Be2V2Fe: relaxed, GGA-PBE.

Properties
E_form, meV per atom: 27
Space-group type: P4/mbm (127)

Lattice parameters (Å, degrees): 3.0504 8.4999 8.4999 90.00 90.00 90.00
Last column: magnetic moment on the atom in μB.
Fractional coordinates of all 20 atoms:
Mn: 0.5000 0.9324 0.2039  1.56
Mn: 0.5000 0.2039 0.0676  1.56
Mn: 0.5000 0.7039 0.4324  1.56
Mn: 0.5000 0.0000 0.5000  0.99
Mn: 0.5000 0.5676 0.7039  1.56
Mn: 0.5000 0.5000 0.0000  0.99
Mn: 0.5000 0.2961 0.5676  1.56
Mn: 0.5000 0.0676 0.7961  1.56
Mn: 0.5000 0.4324 0.2961  1.56
Mn: 0.5000 0.7961 0.9324  1.56
V: 0.0000 0.6710 0.1710  -0.90
V: 0.0000 0.3290 0.8290  -0.90
V: 0.0000 0.8290 0.6710  -0.90
V: 0.0000 0.1710 0.3290  -0.90
Be: 0.0000 0.8744 0.3744  -0.05
Be: 0.0000 0.6256 0.8744  -0.05
Be: 0.0000 0.1256 0.6256  -0.05
Be: 0.0000 0.3744 0.1256  -0.05
Fe: 0.0000 0.0000 0.0000  1.44
Fe: 0.0000 0.5000 0.5000  1.44


# 22
PrY2Ga2: relaxed, GGA-PBE.

Properties
E above lowest polymorph, eV per formula unit: 0.48
E_form, meV per atom: -376
Space-group type: P2_1/m (11)

Lattice parameters (Å, degrees): 4.3568 5.4536 11.7218 93.17 90.00 90.00
Fractional coordinates of all 10 atoms:
Ga: 0.2500 0.7653 0.6449
Ga: 0.7500 0.2347 0.3551
Ga: 0.7500 0.6363 0.0248
Ga: 0.2500 0.3637 0.9752
Pr: 0.7500 0.3363 0.7643
Pr: 0.2500 0.6637 0.2357
Y: 0.2500 0.8610 0.8884
Y: 0.2500 0.2541 0.5252
Y: 0.7500 0.7459 0.4748
Y: 0.7500 0.1390 0.1116


# 23
KIN2Cl: relaxed, GGA-PBE.

Properties
Formation energy from raw total energies, eV per formula unit: 8.7
E above lowest polymorph, eV per formula unit: 1.41
Space-group type: P4/mmm (123)

Lattice parameters (Å, degrees): 5.4877 5.4877 6.6766 90.00 90.00 90.00
Last column: magnetic moment on the atom in μB.
Fractional coordinates of all 5 atoms:
N: 0.0000 0.5000 0.0000  1.85
N: 0.5000 0.0000 0.0000  1.85
I: 0.0000 0.0000 0.5000  0.48
K: 0.0000 0.0000 0.0000  0.04
Cl: 0.5000 0.5000 0.5000  0.48


# 24
La2BeAs: relaxed, GGA-PBE.

Properties
E above lowest polymorph, eV per formula unit: 3.26
E_form, meV per atom: 169
Space-group type: F-43m (216)

Lattice parameters (Å, degrees): 5.1136 5.1136 5.1136 60.00 60.00 60.00
Fractional coordinates of all 4 atoms:
La: 0.2500 0.2500 0.2500
La: 0.0000 0.0000 0.0000
Be: 0.7500 0.7500 0.7500
As: 0.5000 0.5000 0.5000


| no. | volume (Å³ per cell) | total magnetic moment (μB/f.u.) |
| --- | --- | --- |
| 1 | 186.0 | 0.00 |
| 2 | 123.8 | 0.01 |
| 3 | 264.1 | 0.05 |
| 4 | 866.7 | 0.00 |
| 5 | 302.7 | 0.00 |
| 6 | 121.9 | 0.00 |
| 7 | 132.5 | 0.00 |
| 8 | 111.7 | 0.00 |
| 9 | 60.3 | 0.00 |
| 10 | 338.3 | 0.00 |
| 11 | 270.4 | 1.73 |
| 12 | 141.2 | 0.00 |
| 13 | 169.4 | 0.61 |
| 14 | 68.2 | 0.00 |
| 15 | 513.3 | 0.00 |
| 16 | 359.1 | 0.00 |
| 17 | 105.2 | 1.19 |
| 18 | 235.6 | 0.00 |
| 19 | 67.3 | 0.25 |
| 20 | 168.7 | 0.00 |
| 21 | 220.4 | 6.62 |
| 22 | 278.1 | 0.00 |
| 23 | 201.1 | 7.03 |
| 24 | 94.6 | 0.00 |